# 1
Computed, not measured: crystalline CrInCl2F at its relaxed geometry at the PBE+U level of DFT.

```
data_CrInCl2F
_space_group_name_H-M_alt 'P 4/m m m'
_space_group_IT_number 123
_space_group_name_Hall '-P 4 2'
_cell_length_a 5.2822
_cell_length_b 5.2822
_cell_length_c 4.0083
_cell_angle_alpha 90.00
_cell_angle_beta 90.00
_cell_angle_gamma 90.00
loop_
_atom_site_label
_atom_site_type_symbol
_atom_site_fract_x
_atom_site_fract_y
_atom_site_fract_z
_atom_site_occupancy
Cr1 Cr 0.0000 0.0000 0.0000 1
In1 In 0.5000 0.5000 0.5000 1
Cl1 Cl 0.0000 0.5000 0.0000 1
F1 F 0.0000 0.0000 0.5000 1
```

---

# 2
Computed, not measured: crystalline CrInClF2 at its relaxed geometry at the PBE+U level of DFT.

```
data_CrInClF2
_space_group_name_H-M_alt 'P 4/m m m'
_space_group_IT_number 123
_space_group_name_Hall '-P 4 2'
_cell_length_a 4.1966
_cell_length_b 4.1966
_cell_length_c 5.5871
_cell_angle_alpha 90.00
_cell_angle_beta 90.00
_cell_angle_gamma 90.00
loop_
_atom_site_label
_atom_site_type_symbol
_atom_site_fract_x
_atom_site_fract_y
_atom_site_fract_z
_atom_site_occupancy
Cr1 Cr 0.0000 0.0000 0.0000 1
In1 In 0.5000 0.5000 0.5000 1
Cl1 Cl 0.0000 0.0000 0.5000 1
F1 F 0.0000 0.5000 0.0000 1
```

---

# 3
Computed, not measured: crystalline K3Cr2Cl2F5 at its relaxed geometry at the PBE+U level of DFT.

```
data_K3Cr2Cl2F5
_space_group_name_H-M_alt 'I 4/m m m'
_space_group_IT_number 139
_space_group_name_Hall '-I 4 2'
_cell_length_a 4.4056
_cell_length_b 4.4056
_cell_length_c 23.3322
_cell_angle_alpha 90.00
_cell_angle_beta 90.00
_cell_angle_gamma 90.00
loop_
_atom_site_label
_atom_site_type_symbol
_atom_site_fract_x
_atom_site_fract_y
_atom_site_fract_z
_atom_site_occupancy
K1 K 0.0000 0.0000 0.0000 1
K2 K 0.0000 0.0000 0.1671 1
Cr1 Cr 0.0000 0.0000 0.4133 1
Cl1 Cl 0.0000 0.0000 0.3087 1
F1 F 0.0000 0.0000 0.5000 1
F2 F 0.0000 0.5000 0.0843 1
```

---

# 4
Computed, not measured: crystalline KCrClF2 at its relaxed geometry at the PBE+U level of DFT.

```
data_KCrClF2
_space_group_name_H-M_alt 'P 4/m m m'
_space_group_IT_number 123
_space_group_name_Hall '-P 4 2'
_cell_length_a 4.1828
_cell_length_b 4.1828
_cell_length_c 5.4525
_cell_angle_alpha 90.00
_cell_angle_beta 90.00
_cell_angle_gamma 90.00
loop_
_atom_site_label
_atom_site_type_symbol
_atom_site_fract_x
_atom_site_fract_y
_atom_site_fract_z
_atom_site_occupancy
K1 K 0.0000 0.0000 0.0000 1
Cr1 Cr 0.5000 0.5000 0.5000 1
Cl1 Cl 0.5000 0.5000 0.0000 1
F1 F 0.0000 0.5000 0.5000 1
```

---

# 5
Computed, not measured: crystalline K3CrCl2F6 at its relaxed geometry at the PBE+U level of DFT.

```
data_K3CrCl2F6
_space_group_name_H-M_alt 'C 1 2/m 1'
_space_group_IT_number 12
_space_group_name_Hall '-C 2y'
_cell_length_a 14.6149
_cell_length_b 6.4907
_cell_length_c 5.3176
_cell_angle_alpha 90.00
_cell_angle_beta 95.41
_cell_angle_gamma 90.00
loop_
_atom_site_label
_atom_site_type_symbol
_atom_site_fract_x
_atom_site_fract_y
_atom_site_fract_z
_atom_site_occupancy
K1 K 0.0000 0.0000 0.0000 1
K2 K 0.2500 0.2500 0.5000 1
Cr1 Cr 0.0000 0.5000 0.5000 1
Cl1 Cl 0.2186 0.0000 0.9852 1
F1 F 0.0722 0.2921 0.3709 1
F2 F 0.0764 0.5000 0.7874 1
```

---

# 6
Computed, not measured: crystalline K2CrClF at its relaxed geometry at the PBE+U level of DFT.

```
data_K2CrClF
_space_group_name_H-M_alt 'P 4/m m m'
_space_group_IT_number 123
_space_group_name_Hall '-P 4 2'
_cell_length_a 6.4910
_cell_length_b 6.4910
_cell_length_c 4.7743
_cell_angle_alpha 90.00
_cell_angle_beta 90.00
_cell_angle_gamma 90.00
loop_
_atom_site_label
_atom_site_type_symbol
_atom_site_fract_x
_atom_site_fract_y
_atom_site_fract_z
_atom_site_occupancy
K1 K 0.0000 0.5000 0.0000 1
Cr1 Cr 0.0000 0.0000 0.0000 1
Cl1 Cl 0.0000 0.0000 0.5000 1
F1 F 0.5000 0.5000 0.5000 1
```

---

# 7
Computed, not measured: crystalline LaCrCl2F at its relaxed geometry at the PBE+U level of DFT.

```
data_LaCrCl2F
_space_group_name_H-M_alt 'P 4/m m m'
_space_group_IT_number 123
_space_group_name_Hall '-P 4 2'
_cell_length_a 5.3716
_cell_length_b 5.3716
_cell_length_c 6.8505
_cell_angle_alpha 90.00
_cell_angle_beta 90.00
_cell_angle_gamma 90.00
loop_
_atom_site_label
_atom_site_type_symbol
_atom_site_fract_x
_atom_site_fract_y
_atom_site_fract_z
_atom_site_occupancy
La1 La 0.0000 0.0000 0.0000 1
Cr1 Cr 0.0000 0.0000 0.5000 1
Cl1 Cl 0.0000 0.5000 0.0000 1
F1 F 0.5000 0.5000 0.5000 1
```

---

# 8
Computed, not measured: crystalline LiCrCl2F at its relaxed geometry at the PBE+U level of DFT.

```
data_LiCrCl2F
_space_group_name_H-M_alt 'P 4/m m m'
_space_group_IT_number 123
_space_group_name_Hall '-P 4 2'
_cell_length_a 5.1111
_cell_length_b 5.1111
_cell_length_c 3.9390
_cell_angle_alpha 90.00
_cell_angle_beta 90.00
_cell_angle_gamma 90.00
loop_
_atom_site_label
_atom_site_type_symbol
_atom_site_fract_x
_atom_site_fract_y
_atom_site_fract_z
_atom_site_occupancy
Li1 Li 0.0000 0.0000 0.0000 1
Cr1 Cr 0.5000 0.5000 0.5000 1
Cl1 Cl 0.0000 0.5000 0.5000 1
F1 F 0.5000 0.5000 0.0000 1
```

---

# 9
Computed, not measured: crystalline LiCrCl2F at its relaxed geometry at the PBE+U level of DFT.

```
data_LiCrCl2F
_space_group_name_H-M_alt 'P 4/m m m'
_space_group_IT_number 123
_space_group_name_Hall '-P 4 2'
_cell_length_a 4.2703
_cell_length_b 4.2703
_cell_length_c 5.9395
_cell_angle_alpha 90.00
_cell_angle_beta 90.00
_cell_angle_gamma 90.00
loop_
_atom_site_label
_atom_site_type_symbol
_atom_site_fract_x
_atom_site_fract_y
_atom_site_fract_z
_atom_site_occupancy
Li1 Li 0.0000 0.0000 0.0000 1
Cr1 Cr 0.0000 0.0000 0.5000 1
Cl1 Cl 0.0000 0.5000 0.0000 1
F1 F 0.5000 0.5000 0.5000 1
```

---

# 10
Computed, not measured: crystalline MnCrClF4 at its relaxed geometry at the PBE+U level of DFT.

```
data_MnCrClF4
_space_group_name_H-M_alt 'C 1 2/m 1'
_space_group_IT_number 12
_space_group_name_Hall '-C 2y'
_cell_length_a 9.3112
_cell_length_b 7.8735
_cell_length_c 6.8023
_cell_angle_alpha 90.00
_cell_angle_beta 108.23
_cell_angle_gamma 90.00
loop_
_atom_site_label
_atom_site_type_symbol
_atom_site_fract_x
_atom_site_fract_y
_atom_site_fract_z
_atom_site_occupancy
Mn1 Mn 0.1954 0.0000 0.2015 1
Cr1 Cr 0.1465 0.5000 0.1979 1
Cl1 Cl 0.0998 0.0000 0.8006 1
F1 F 0.0854 0.5000 0.8821 1
F2 F 0.1507 0.2558 0.1950 1
F3 F 0.1838 0.5000 0.4899 1
```

---

# 11
Computed, not measured: crystalline MnCrClF2 at its relaxed geometry at the PBE+U level of DFT.

```
data_MnCrClF2
_space_group_name_H-M_alt 'P 4/m m m'
_space_group_IT_number 123
_space_group_name_Hall '-P 4 2'
_cell_length_a 4.0575
_cell_length_b 4.0575
_cell_length_c 5.8331
_cell_angle_alpha 90.00
_cell_angle_beta 90.00
_cell_angle_gamma 90.00
loop_
_atom_site_label
_atom_site_type_symbol
_atom_site_fract_x
_atom_site_fract_y
_atom_site_fract_z
_atom_site_occupancy
Mn1 Mn 0.0000 0.0000 0.0000 1
Cr1 Cr 0.5000 0.5000 0.5000 1
Cl1 Cl 0.5000 0.5000 0.0000 1
F1 F 0.0000 0.5000 0.5000 1
```

---

# 12
Computed, not measured: crystalline CrN2ClF at its relaxed geometry at the PBE+U level of DFT.

```
data_CrN2ClF
_space_group_name_H-M_alt 'P 4/m m m'
_space_group_IT_number 123
_space_group_name_Hall '-P 4 2'
_cell_length_a 3.5937
_cell_length_b 3.5937
_cell_length_c 5.2858
_cell_angle_alpha 90.00
_cell_angle_beta 90.00
_cell_angle_gamma 90.00
loop_
_atom_site_label
_atom_site_type_symbol
_atom_site_fract_x
_atom_site_fract_y
_atom_site_fract_z
_atom_site_occupancy
Cr1 Cr 0.0000 0.0000 0.0000 1
N1 N 0.0000 0.5000 0.5000 1
Cl1 Cl 0.5000 0.5000 0.5000 1
F1 F 0.5000 0.5000 0.0000 1
```

---

Number 1: total moment 4.000 μB per formula unit, E -4.603 eV per atom. Number 2: total moment 4.000 μB per formula unit, E -4.946 eV per atom. Number 3: total moment 8.000 μB per formula unit, E -4.997 eV per atom. Number 4: total moment 4.000 μB per formula unit, E -5.116 eV per atom. Number 5: total moment 2.597 μB per formula unit, E -4.321 eV per atom. Number 6: total moment 4.689 μB per formula unit, E -3.477 eV per atom. Number 7: total moment 5.990 μB per formula unit, E -4.582 eV per atom. Number 8: total moment 4.000 μB per formula unit, E -4.665 eV per atom. Number 9: total moment 4.365 μB per formula unit, E -3.633 eV per atom. Number 10: total moment 8.000 μB per formula unit, E -5.838 eV per atom. Number 11: total moment 9.754 μB per formula unit, E -5.634 eV per atom. Number 12: total moment 5.134 μB per formula unit, E -4.111 eV per atom.